DFT (PBE) results for crystalline Hf2ScGa at its relaxed geometry.

Geometry as POSCAR:
```
Hf2ScGa
1.0
6.8709 0.0000 0.0000
0.0000 6.8709 0.0000
0.0000 0.0000 6.8709
Hf Sc Ga
8 4 4
Direct
0.0000 0.0000 0.0000 Hf
0.0000 0.5000 0.5000 Hf
0.2500 0.2500 0.2500 Hf
0.2500 0.7500 0.7500 Hf
0.5000 0.0000 0.5000 Hf
0.5000 0.5000 0.0000 Hf
0.7500 0.2500 0.7500 Hf
0.7500 0.7500 0.2500 Hf
0.2500 0.2500 0.7500 Sc
0.2500 0.7500 0.2500 Sc
0.7500 0.2500 0.2500 Sc
0.7500 0.7500 0.7500 Sc
0.0000 0.0000 0.5000 Ga
0.0000 0.5000 0.0000 Ga
0.5000 0.0000 0.0000 Ga
0.5000 0.5000 0.5000 Ga
```

Values from the calculation:
**Calculated volume**: 324.4 Å³/cell
**Total DFT energy (no corrections)**: -29.4 eV per formula unit